VASP calculation (GGA-PBE) on a relaxed structure of Zn2BiSb2.

Geometry as extended XYZ:
```
10
Lattice="7.873 0.000 0.000 0.000 7.873 0.000 0.000 0.000 3.815" Properties=species:S:1:pos:R:3 pbc="T T T"
Zn 0.924 3.013 0.000
Zn 3.013 6.949 0.000
Zn 4.861 0.924 0.000
Zn 6.949 4.861 0.000
Bi 0.000 0.000 0.000
Bi 3.937 3.937 0.000
Sb 1.429 5.365 1.907
Sb 2.508 1.429 1.907
Sb 5.365 6.445 1.907
Sb 6.445 2.508 1.907
```

## Properties
- DOS at the Fermi energy (states/eV/atom) = 0.5377
- total moment (μB/f.u.) = 0.00
- calculated density (g/cm³) = 8.2
- ΔE to the lowest computed polymorph (meV per atom) = 44
- energy relative to the elements, uncorrected (meV per atom) = 169
- space-group type = P4/mbm


VASP calculation (GGA-PBE) on a relaxed structure of CsMgSb.

Geometry as extended XYZ:
```
6
Lattice="7.557 -2.423 0.000 7.557 2.423 0.000 -1.240 0.000 7.216" Properties=species:S:1:pos:R:3 pbc="T T T"
Cs 0.000 0.000 0.000
Cs 8.679 0.000 4.052
Mg 4.369 0.000 4.463
Mg 11.698 0.000 0.956
Sb 2.613 0.000 6.725
Sb 12.997 0.000 3.461
```

## Properties
- DOS at the Fermi energy (states/eV/atom) = 0.0000
- total moment (μB/f.u.) = 0.00
- calculated density (g/cm³) = 3.5
- energy relative to the elements, uncorrected (meV per atom) = -377
- space-group type = Cm


VASP calculation (GGA-PBE) on a relaxed structure of Tm4Bi3N.

Geometry as extended XYZ:
```
16
Lattice="9.652 0.000 0.000 0.000 8.542 0.000 0.000 0.000 6.230" Properties=species:S:1:pos:R:3 pbc="T T T"
Tm 0.000 0.728 0.000
Tm 0.000 7.004 3.556
Tm 1.931 5.982 0.017
Tm 2.895 2.559 3.132
Tm 4.826 1.537 0.441
Tm 4.826 7.814 3.115
Tm 6.757 2.559 3.132
Tm 7.721 5.982 0.017
Bi 0.000 1.387 3.048
Bi 2.231 2.899 6.174
Bi 2.595 5.642 3.059
Bi 4.826 7.154 6.163
Bi 7.057 5.642 3.059
Bi 7.421 2.899 6.174
N 0.000 7.039 5.777
N 4.826 1.503 2.662
```

## Properties
- DOS at the Fermi energy (states/eV/atom) = 0.0358
- total moment (μB/f.u.) = 0.00
- calculated density (g/cm³) = 8.5
- energy relative to the elements, uncorrected (meV per atom) = -757
- space-group type = Pmn2_1


VASP calculation (GGA-PBE) on a relaxed structure of Y2Ho4Sc5.

Geometry as extended XYZ:
```
11
Lattice="11.299 -1.677 0.000 11.299 1.677 0.000 -0.442 0.000 8.405" Properties=species:S:1:pos:R:3 pbc="T T T"
Y 5.021 0.000 2.700
Y 17.135 0.000 5.705
Ho 1.885 0.000 1.645
Ho 10.196 0.000 1.366
Ho 11.960 0.000 7.038
Ho 20.272 0.000 6.760
Sc -0.221 0.000 4.202
Sc 7.051 0.000 0.175
Sc 8.199 0.000 3.921
Sc 13.957 0.000 4.484
Sc 15.105 0.000 8.230
```

## Properties
- DOS at the Fermi energy (states/eV/atom) = 1.7455
- total moment (μB/f.u.) = 0.00
- E_form (eV/atom) = 0.14
- calculated density (g/cm³) = 5.5
- ΔE to the lowest computed polymorph (meV per atom) = 89
- space-group type = C2/m


VASP calculation (GGA-PBE) on a relaxed structure of TiNi5P3.

Geometry as extended XYZ:
```
18
Lattice="1.769 -6.020 0.000 1.769 6.020 0.000 0.000 0.000 10.646" Properties=species:S:1:pos:R:3 pbc="T T T"
Ti 1.769 4.772 7.985
Ti 1.769 -4.772 2.662
Ni 0.000 0.000 0.000
Ni 0.000 0.000 5.323
Ni 1.769 3.585 0.696
Ni 1.769 3.585 4.627
Ni 1.769 0.782 6.789
Ni 1.769 0.782 9.181
Ni 1.769 -0.782 1.466
Ni 1.769 -0.782 3.857
Ni 1.769 -3.585 6.020
Ni 1.769 -3.585 9.950
P 1.769 4.613 2.662
P 1.769 1.404 0.723
P 1.769 1.404 4.601
P 1.769 -1.404 6.046
P 1.769 -1.404 9.924
P 1.769 -4.613 7.985
```

## Properties
- DOS at the Fermi energy (states/eV/atom) = 0.5347
- total moment (μB/f.u.) = 0.00
- E_form (eV/atom) = -0.54
- calculated density (g/cm³) = 6.4
- space-group type = Cmcm


VASP calculation (GGA-PBE) on a relaxed structure of Sr2LiW.

Geometry as extended XYZ:
```
4
Lattice="6.080 -1.571 0.000 6.080 1.571 0.000 -1.625 0.000 5.736" Properties=species:S:1:pos:R:3 pbc="T T T"
Sr 0.000 0.000 0.000
Sr 1.463 0.000 3.492
Li 9.161 0.000 1.023
W 4.714 0.000 2.700
```

## Properties
- DOS at the Fermi energy (states/eV/atom) = 1.1689
- total moment (μB/f.u.) = 0.00
- E_form (eV/atom) = 0.92
- calculated density (g/cm³) = 5.5
- ΔE to the lowest computed polymorph (meV per atom) = 29
- space-group type = Cm


VASP calculation (GGA-PBE) on a relaxed structure of Ac4Ce3PrSe8.

Geometry as extended XYZ:
```
16
Lattice="4.339 2.505 7.134 -4.339 2.505 7.134 0.000 -5.011 7.134" Properties=species:S:1:pos:R:3 pbc="T T T"
Ac 0.000 0.000 0.000
Ac -2.170 -1.253 7.134
Ac -2.170 1.253 14.268
Ac 0.000 2.505 7.134
Ce -4.339 0.000 10.701
Ce -2.170 1.253 3.567
Ce 2.170 1.253 3.567
Pr 0.000 0.000 10.701
Se -2.184 -1.261 12.380
Se 0.000 0.000 5.234
Se 0.000 -2.522 9.022
Se -2.184 1.261 9.022
Se 2.184 -1.261 12.380
Se 0.000 2.522 12.380
Se 0.000 0.000 16.168
Se 2.184 1.261 9.022
```

## Properties
- DOS at the Fermi energy (states/eV/atom) = 1.3972
- total moment (μB/f.u.) = 3.14
- calculated density (g/cm³) = 7.5
- energy relative to the elements, uncorrected (meV per atom) = -1847
- space-group type = R-3m


VASP calculation (GGA-PBE) on a relaxed structure of Ba2IrO6.

Geometry as extended XYZ:
```
18
Lattice="5.804 0.000 0.000 -2.902 5.026 0.000 0.000 0.000 9.458" Properties=species:S:1:pos:R:3 pbc="T T T"
Ba 0.000 0.000 0.000
Ba 0.000 0.000 4.729
Ba 0.000 3.351 2.506
Ba 2.902 1.675 7.235
Ir 0.000 3.351 6.161
Ir 2.902 1.675 1.432
O -1.331 2.583 5.043
O 0.000 1.767 7.203
O -1.371 4.143 7.203
O 1.531 0.884 2.473
O 1.331 2.583 5.043
O 0.000 4.888 5.043
O 2.902 0.139 0.313
O 1.571 2.444 0.313
O 1.371 4.143 7.203
O 4.273 0.884 2.473
O 2.902 3.259 2.473
O 4.233 2.444 0.313
```

## Properties
- DOS at the Fermi energy (states/eV/atom) = 0.6354
- total moment (μB/f.u.) = 0.00
- calculated density (g/cm³) = 6.8
- ΔE to the lowest computed polymorph (meV per atom) = 0
- energy relative to the elements, uncorrected (meV per atom) = -1574
- space-group type = P6_3mc


Among the records above, which one has the highest DOS at the Fermi energy? Y2Ho4Sc5